No. 1
## TlHg4H2 (PBE-GGA)

Data for TlHg4H2 after structural relaxation.

Unit cell a=3.483 b=5.485 c=8.721 alpha=108.33 beta=90.00 gamma=90.00
Positions (direct):
H  0.500  0.186  0.372
H  0.500  0.814  0.628
Tl  0.000  0.500  0.000
Hg  0.500  0.918  0.836
Hg  0.000  0.303  0.606
Hg  0.000  0.697  0.394
Hg  0.500  0.082  0.164

- Mass density: 10.59 g cm⁻³
- Volume: 22.6 A^3/atom
- Size of the total moment: 0.000 μB per formula unit
- DFT total energy: -1.2501 eV per atom

***

No. 2
## Tl3Hg3H2 (PBE-GGA)

Data for Tl3Hg3H2 after structural relaxation.

Unit cell a=3.476 b=6.117 c=11.729 alpha=52.67 beta=81.91 gamma=90.56
Positions (direct):
Tl  0.664  0.215  0.667
Tl  0.500  0.500  0.000
Tl  0.336  0.785  0.333
Hg  0.849  0.309  0.308
Hg  0.000  0.000  0.000
Hg  0.151  0.691  0.692
H  0.759  0.682  0.488
H  0.241  0.318  0.512

- Mass density: 10.37 g cm⁻³
- Volume: 24.4 A^3/atom
- Size of the total moment: 0.000 μB per formula unit
- DFT total energy: -1.6528 eV per atom